This record from the Alexandria database describes a relaxed structure of MnAlB3. The functional is PBE.

Properties
Polymorph energy (0 for the lowest one) (eV/atom): 0.000
Space group: No. 221
Energy of formation (eV/atom): 0.857
VASP energy (eV per atom): -5.73
Magnetization (μB per atom): 0.000
Calculated volume (Å³/f.u.): 55.2

Cell: 3.808 3.808 3.808 Å, 90.00 90.00 90.00°
Element x y z (fractional)
B1 0.000 0.500 0.000
B2 0.000 0.000 0.500
B3 0.500 0.000 0.000
Mn1 0.000 0.000 0.000
Al1 0.500 0.500 0.500